Entry 1:
Density functional theory data (PBE) for a relaxed Os2RuW crystal.

a = 9.1423 Å, b = 9.1423 Å, c = 9.1423 Å
α = 17.29°, β = 17.29°, γ = 17.29°
Atoms (fractional coordinates):
Os: 0.0000 0.0000 0.0000
Os: 0.2517 0.2517 0.2517
Ru: 0.7486 0.7486 0.7486
W: 0.4995 0.4995 0.4995

- energy of formation (meV/atom) = 150
- space group = R3m, No. 160
- excess energy over the best structure of this formula in the dataset (eV/f.u.) = 0.63



Entry 2:
Density functional theory data (PBE) for a relaxed CeZr2S4 crystal.

a = 6.3683 Å, b = 6.3683 Å, c = 12.7925 Å
α = 90.00°, β = 90.00°, γ = 145.97°
Atoms (fractional coordinates):
Ce: 0.1116 0.8884 0.7500
Ce: 0.8884 0.1116 0.2500
Zr: 0.3551 0.6449 0.5586
Zr: 0.3551 0.6449 0.9414
Zr: 0.6449 0.3551 0.0586
Zr: 0.6449 0.3551 0.4414
S: 0.0000 0.0000 0.0000
S: 0.0000 0.0000 0.5000
S: 0.2727 0.7273 0.1272
S: 0.2727 0.7273 0.3728
S: 0.4429 0.5571 0.7500
S: 0.5571 0.4429 0.2500
S: 0.7273 0.2727 0.6272
S: 0.7273 0.2727 0.8728

- uncorrected formation energy (eV/atom) = -1.67
- space group = Cmcm, No. 63



What did the first record say?
Density functional theory data (PBE) for a relaxed Os2RuW crystal.

a = 9.1423 Å, b = 9.1423 Å, c = 9.1423 Å
α = 17.29°, β = 17.29°, γ = 17.29°
Atoms (fractional coordinates):
Os: 0.0000 0.0000 0.0000
Os: 0.2517 0.2517 0.2517
Ru: 0.7486 0.7486 0.7486
W: 0.4995 0.4995 0.4995

- energy of formation (meV/atom) = 150
- space group = R3m, No. 160
- excess energy over the best structure of this formula in the dataset (eV/f.u.) = 0.63